Material: Tb6Pr5Th
Method: DFT, PBE
State: optimized geometry

Results
volume = 33.62 Å³ per atom
DFT formation energy = 0.023 eV per atom
symmetry = No. 12
total energy = -4.901 eV/atom

Cell: 6.309 6.305 11.900 Å, 84.94 79.85 59.98°
Positions (direct):
Pr 0.333 0.333 0.000
Tb 0.082 0.329 0.752
Tb 0.918 0.671 0.248
Pr 0.500 0.000 0.500
Tb 0.411 0.671 0.752
Pr 0.667 0.667 0.000
Pr 0.167 0.666 0.500
Th 0.000 0.000 0.000
Tb 0.247 0.000 0.248
Pr 0.833 0.334 0.500
Tb 0.589 0.329 0.248
Tb 0.753 0.000 0.752